A plane-wave DFT calculation with PBE was carried out for a relaxed structure of LiSbPbCl6.

Properties
Energy relative to the elements, uncorrected = -1006 kJ/mol of formula units

Lattice parameters (Å, degrees): 6.767 6.767 12.713 90.00 90.00 120.00
Sites, in units of the cell vectors:
Li 0.333 0.667 0.250
Li 0.667 0.333 0.750
Sb 0.333 0.667 0.750
Sb 0.667 0.333 0.250
Pb 0.000 0.000 0.000
Pb 0.000 0.000 0.500
Cl 0.007 0.359 0.133
Cl 0.007 0.648 0.367
Cl 0.352 0.359 0.367
Cl 0.352 0.993 0.133
Cl 0.359 0.007 0.633
Cl 0.359 0.352 0.867
Cl 0.641 0.648 0.133
Cl 0.641 0.993 0.367
Cl 0.648 0.007 0.867
Cl 0.648 0.641 0.633
Cl 0.993 0.352 0.633
Cl 0.993 0.641 0.867



A plane-wave DFT calculation with PBE was carried out for a relaxed structure of LiScPbCl6.

Properties
Energy relative to the elements, uncorrected = -1495 kJ/mol of formula units

Lattice parameters (Å, degrees): 6.599 6.599 12.488 90.00 90.00 120.00
Sites, in units of the cell vectors:
Li 0.333 0.667 0.250
Li 0.667 0.333 0.750
Sc 0.333 0.667 0.750
Sc 0.667 0.333 0.250
Pb 0.000 0.000 0.000
Pb 0.000 0.000 0.500
Cl 0.009 0.367 0.636
Cl 0.009 0.642 0.864
Cl 0.358 0.367 0.864
Cl 0.358 0.991 0.636
Cl 0.367 0.009 0.136
Cl 0.367 0.358 0.364
Cl 0.633 0.642 0.636
Cl 0.633 0.991 0.864
Cl 0.642 0.009 0.364
Cl 0.642 0.633 0.136
Cl 0.991 0.358 0.136
Cl 0.991 0.633 0.364



A plane-wave DFT calculation with PBE was carried out for a relaxed structure of LiSmPbCl6.

Properties
Energy relative to the elements, uncorrected = -1554 kJ/mol of formula units

Lattice parameters (Å, degrees): 6.827 6.827 12.677 90.00 90.00 120.00
Sites, in units of the cell vectors:
Li 0.333 0.667 0.250
Li 0.667 0.333 0.750
Sm 0.333 0.667 0.750
Sm 0.667 0.333 0.250
Pb 0.000 0.000 0.000
Pb 0.000 0.000 0.500
Cl 0.011 0.359 0.132
Cl 0.011 0.652 0.368
Cl 0.348 0.359 0.368
Cl 0.348 0.989 0.132
Cl 0.359 0.011 0.632
Cl 0.359 0.348 0.868
Cl 0.641 0.652 0.132
Cl 0.641 0.989 0.368
Cl 0.652 0.011 0.868
Cl 0.652 0.641 0.632
Cl 0.989 0.348 0.632
Cl 0.989 0.641 0.868



A plane-wave DFT calculation with PBE was carried out for a relaxed structure of Li2SnPbCl6.

Properties
Energy relative to the elements, uncorrected = -1312 kJ/mol of formula units

Lattice parameters (Å, degrees): 7.296 7.296 7.296 57.22 57.22 57.22
Sites, in units of the cell vectors:
Li 0.000 0.000 0.000
Li 0.492 0.492 0.492
Sn 0.694 0.694 0.694
Pb 0.198 0.198 0.198
Cl 0.157 0.354 0.770
Cl 0.275 0.852 0.659
Cl 0.354 0.770 0.157
Cl 0.659 0.275 0.852
Cl 0.770 0.157 0.354
Cl 0.852 0.659 0.275



A plane-wave DFT calculation with PBE was carried out for a relaxed structure of LiSnPbCl6.

Properties
Energy relative to the elements, uncorrected = -1004 kJ/mol of formula units

Lattice parameters (Å, degrees): 6.721 6.721 12.730 90.00 90.00 120.00
Sites, in units of the cell vectors:
Li 0.333 0.667 0.250
Li 0.667 0.333 0.750
Sn 0.333 0.667 0.750
Sn 0.667 0.333 0.250
Pb 0.000 0.000 0.000
Pb 0.000 0.000 0.500
Cl 0.004 0.357 0.133
Cl 0.004 0.647 0.367
Cl 0.353 0.357 0.367
Cl 0.353 0.996 0.133
Cl 0.357 0.004 0.633
Cl 0.357 0.353 0.867
Cl 0.643 0.647 0.133
Cl 0.643 0.996 0.367
Cl 0.647 0.004 0.867
Cl 0.647 0.643 0.633
Cl 0.996 0.353 0.633
Cl 0.996 0.643 0.867



A plane-wave DFT calculation with PBE was carried out for a relaxed structure of SrLi2PbCl8.

Properties
Energy relative to the elements, uncorrected = -1655 kJ/mol of formula units

Lattice parameters (Å, degrees): 6.215 6.264 8.625 89.72 89.71 85.43
Sites, in units of the cell vectors:
Sr 0.000 0.000 0.000
Li 0.497 0.498 0.193
Li 0.503 0.502 0.807
Pb 0.000 0.000 0.500
Cl 0.228 0.804 0.727
Cl 0.229 0.805 0.273
Cl 0.250 0.288 0.499
Cl 0.301 0.325 0.999
Cl 0.699 0.675 0.001
Cl 0.750 0.712 0.501
Cl 0.771 0.195 0.727
Cl 0.772 0.196 0.273



A plane-wave DFT calculation with PBE was carried out for a relaxed structure of Sr2LiPbCl.

Properties
Energy relative to the elements, uncorrected = -431 kJ/mol of formula units

Lattice parameters (Å, degrees): 5.808 5.808 4.667 90.00 90.00 90.00
Sites, in units of the cell vectors:
Sr 0.000 0.500 0.000
Sr 0.500 0.000 0.000
Li 0.000 0.000 0.500
Pb 0.500 0.500 0.500
Cl 0.000 0.000 0.000



A plane-wave DFT calculation with PBE was carried out for a relaxed structure of LiTbPbCl6.

Properties
Energy relative to the elements, uncorrected = -1563 kJ/mol of formula units

Lattice parameters (Å, degrees): 6.771 6.771 12.649 90.00 90.00 120.00
Sites, in units of the cell vectors:
Li 0.333 0.667 0.250
Li 0.667 0.333 0.750
Tb 0.333 0.667 0.750
Tb 0.667 0.333 0.250
Pb 0.000 0.000 0.000
Pb 0.000 0.000 0.500
Cl 0.006 0.359 0.133
Cl 0.006 0.647 0.367
Cl 0.353 0.359 0.367
Cl 0.353 0.994 0.133
Cl 0.359 0.006 0.633
Cl 0.359 0.353 0.867
Cl 0.641 0.647 0.133
Cl 0.641 0.994 0.367
Cl 0.647 0.006 0.867
Cl 0.647 0.641 0.633
Cl 0.994 0.353 0.633
Cl 0.994 0.641 0.867